Model one:
A relaxed AgGeP crystal, computed with PBE.

Values from the calculation:
Density of states at the Fermi level, states/eV/atom: 0.269
Size of the total moment, μB/cell: 0.0
Density, kg/m³: 6187

Cell lengths 3.5727, 3.5727, 5.1349 Å; angles 90.00, 90.00, 120.00 degrees
Space group P3m1 (No. 156)
Asymmetric unit:
1 Ag 0.0000 0.0000 0.0000 (multiplicity 1)
2 Ge 0.3333 0.6667 0.3932 (multiplicity 1)
3 P 0.6667 0.3333 0.6386 (multiplicity 1)

***

Model two:
A relaxed AgGeP crystal, computed with PBE.

Values from the calculation:
Density of states at the Fermi level, states/eV/atom: 0.474
Size of the total moment, μB/cell: 0.0
Density, kg/m³: 6359

Cell lengths 3.5488, 3.5488, 8.7701 Å; angles 90.00, 90.00, 90.00 degrees
Space group I4mm (No. 107)
Asymmetric unit:
1 Ag 0.0000 0.0000 0.0000 (multiplicity 2)
2 Ge 0.0000 0.0000 0.6919 (multiplicity 2)
3 P 0.0000 0.0000 0.3003 (multiplicity 2)

***

The most stable of them is model one.

***

Model one:
A relaxed AgGe3P crystal, computed with PBE.

Values from the calculation:
Density of states at the Fermi level, states/eV/atom: 0.586
Size of the total moment, μB/cell: 0.0
Density, kg/m³: 5353

Cell lengths 4.8010, 4.8010, 4.8010 Å; angles 90.00, 90.00, 90.00 degrees
Space group Pm-3m (No. 221)
Asymmetric unit:
1 Ag 0.0000 0.0000 0.0000 (multiplicity 1)
2 Ge 0.0000 0.5000 0.5000 (multiplicity 3)
3 P 0.5000 0.5000 0.5000 (multiplicity 1)

***

Model two:
A relaxed AgGe3P crystal, computed with PBE.

Values from the calculation:
Density of states at the Fermi level, states/eV/atom: 0.620
Size of the total moment, μB/cell: 0.0
Density, kg/m³: 4899

Cell lengths 4.9449, 4.9449, 4.9449 Å; angles 90.00, 90.00, 90.00 degrees
Space group Pm-3m (No. 221)
Asymmetric unit:
1 Ag 0.0000 0.0000 0.0000 (multiplicity 1)
2 Ge 0.0000 0.0000 0.5000 (multiplicity 3)
3 P 0.5000 0.5000 0.5000 (multiplicity 1)

***

The most stable of them is model one.

***

Model one:
A relaxed AgGePS2 crystal, computed with PBE.

Values from the calculation:
Density of states at the Fermi level, states/eV/atom: 0.726
Size of the total moment, μB/cell: 1.0
Density, kg/m³: 4262

Cell lengths 4.7717, 4.7717, 4.7166 Å; angles 90.00, 90.00, 90.00 degrees
Space group P4/mmm (No. 123)
Asymmetric unit:
1 Ag 0.0000 0.0000 0.0000 (multiplicity 1)
2 Ge 0.5000 0.5000 0.5000 (multiplicity 1)
3 P 0.5000 0.5000 0.0000 (multiplicity 1)
4 S 0.0000 0.5000 0.5000 (multiplicity 2)

***

Model two:
A relaxed AgGePS2 crystal, computed with PBE.

Values from the calculation:
Density of states at the Fermi level, states/eV/atom: 0.783
Size of the total moment, μB/cell: 0.0
Density, kg/m³: 4083

Cell lengths 4.8995, 4.8995, 4.6692 Å; angles 90.00, 90.00, 90.00 degrees
Space group P4/mmm (No. 123)
Asymmetric unit:
1 Ag 0.0000 0.0000 0.0000 (multiplicity 1)
2 Ge 0.5000 0.5000 0.5000 (multiplicity 1)
3 P 0.0000 0.0000 0.5000 (multiplicity 1)
4 S 0.0000 0.5000 0.0000 (multiplicity 2)

***

The most stable of them is model one.

***

Model one:
A relaxed Ag2GePb2 crystal, computed with PBE.

Values from the calculation:
Density of states at the Fermi level, states/eV/atom: 0.254
Size of the total moment, μB/cell: 0.0
Density, kg/m³: 9634

Cell lengths 7.1122, 7.1122, 4.7897 Å; angles 90.00, 90.00, 90.00 degrees
Space group P4/mbm (No. 127)
Asymmetric unit:
1 Ag 0.1408 0.3592 0.0000 (multiplicity 4)
2 Ge 0.0000 0.0000 0.0000 (multiplicity 2)
3 Pb 0.1716 0.6716 0.5000 (multiplicity 4)

***

Model two:
A relaxed Ag2GePb2 crystal, computed with PBE.

Values from the calculation:
Density of states at the Fermi level, states/eV/atom: 0.441
Size of the total moment, μB/cell: 0.0
Density, kg/m³: 9414

Cell lengths 8.7045, 8.7045, 3.2722 Å; angles 90.00, 90.00, 90.00 degrees
Space group P4/mbm (No. 127)
Asymmetric unit:
1 Ag 0.1153 0.3847 0.0000 (multiplicity 4)
2 Ge 0.0000 0.0000 0.5000 (multiplicity 2)
3 Pb 0.1817 0.6817 0.5000 (multiplicity 4)

***

The most stable of them is model one.

***

Model one:
A relaxed Ag2GePb2 crystal, computed with PBE.

Values from the calculation:
Density of states at the Fermi level, states/eV/atom: 0.279
Size of the total moment, μB/cell: 0.0
Density, kg/m³: 9262

Cell lengths 3.8147, 3.8147, 17.3180 Å; angles 90.00, 90.00, 90.00 degrees
Space group I4/mmm (No. 139)
Asymmetric unit:
1 Ag 0.0000 0.5000 0.2500 (multiplicity 4)
2 Ge 0.0000 0.0000 0.0000 (multiplicity 2)
3 Pb 0.0000 0.0000 0.3985 (multiplicity 4)

***

Model two:
A relaxed Ag2GePb2 crystal, computed with PBE.

Values from the calculation:
Density of states at the Fermi level, states/eV/atom: 0.408
Size of the total moment, μB/cell: 0.0
Density, kg/m³: 7881

Cell lengths 5.1464, 5.1464, 5.5907 Å; angles 90.00, 90.00, 90.00 degrees
Space group P4/mmm (No. 123)
Asymmetric unit:
1 Ag 0.0000 0.5000 0.0000 (multiplicity 2)
2 Ge 0.0000 0.0000 0.0000 (multiplicity 1)
3 Pb 0.0000 0.0000 0.5000 (multiplicity 1)
4 Pb 0.5000 0.5000 0.5000 (multiplicity 1)

***

The most stable of them is model one.

***

Model one:
A relaxed Ag3GePb crystal, computed with PBE.

Values from the calculation:
Density of states at the Fermi level, states/eV/atom: 0.478
Size of the total moment, μB/cell: 0.0
Density, kg/m³: 8206

Cell lengths 4.9611, 4.9611, 4.9611 Å; angles 90.00, 90.00, 90.00 degrees
Space group Pm-3m (No. 221)
Asymmetric unit:
1 Ag 0.0000 0.0000 0.5000 (multiplicity 3)
2 Ge 0.0000 0.0000 0.0000 (multiplicity 1)
3 Pb 0.5000 0.5000 0.5000 (multiplicity 1)

***

Model two:
A relaxed Ag3GePb crystal, computed with PBE.

Values from the calculation:
Density of states at the Fermi level, states/eV/atom: 0.759
Size of the total moment, μB/cell: 0.0
Density, kg/m³: 6777

Cell lengths 5.2880, 5.2880, 5.2880 Å; angles 90.00, 90.00, 90.00 degrees
Space group Pm-3m (No. 221)
Asymmetric unit:
1 Ag 0.0000 0.0000 0.5000 (multiplicity 3)
2 Ge 0.5000 0.5000 0.5000 (multiplicity 1)
3 Pb 0.0000 0.0000 0.0000 (multiplicity 1)

***

The most stable of them is model one.

***

Model one:
A relaxed AgGe2Pb crystal, computed with PBE.

Values from the calculation:
Density of states at the Fermi level, states/eV/atom: 0.658
Size of the total moment, μB/cell: 0.0
Density, kg/m³: 8583

Cell lengths 7.0891, 7.0891, 7.0891 Å; angles 90.00, 90.00, 90.00 degrees
Space group Fm-3m (No. 225)
Asymmetric unit:
1 Ag 0.0000 0.0000 0.0000 (multiplicity 4)
2 Ge 0.2500 0.2500 0.2500 (multiplicity 8)
3 Pb 0.0000 0.0000 0.5000 (multiplicity 4)

***

Model two:
A relaxed AgGe2Pb crystal, computed with PBE.

Values from the calculation:
Density of states at the Fermi level, states/eV/atom: 0.624
Size of the total moment, μB/cell: 0.0
Density, kg/m³: 8146

Cell lengths 4.3604, 4.3604, 19.7423 Å; angles 90.00, 90.00, 90.00 degrees
Space group I-42d (No. 122)
Asymmetric unit:
1 Ag 0.0000 0.0000 0.0000 (multiplicity 4)
2 Ge 0.1771 0.2500 0.1250 (multiplicity 8)
3 Pb 0.0000 0.0000 0.5000 (multiplicity 4)

***

The most stable of them is model two.

***

Model one:
A relaxed Ag2GePd8 crystal, computed with PBE.

Values from the calculation:
Density of states at the Fermi level, states/eV/atom: 0.981
Size of the total moment, μB/cell: 0.0
Density, kg/m³: 10450

Cell lengths 12.5591, 4.5277, 7.2999 Å; angles 90.00, 119.24, 90.00 degrees
Space group C2/m (No. 12)
Asymmetric unit:
1 Ag 0.1457 0.0000 0.1181 (multiplicity 4)
2 Ge 0.0000 0.5000 0.5000 (multiplicity 2)
3 Pd 0.0456 0.0000 0.3658 (multiplicity 4)
4 Pd 0.0646 0.5000 0.8767 (multiplicity 4)
5 Pd 0.1845 0.5000 0.4537 (multiplicity 4)
6 Pd 0.2014 0.0000 0.7960 (multiplicity 4)

***

Model two:
A relaxed Ag2GePd8 crystal, computed with PBE.

Values from the calculation:
Density of states at the Fermi level, states/eV/atom: 0.783
Size of the total moment, μB/cell: 0.0
Density, kg/m³: 10565

Cell lengths 14.6331, 4.5688, 5.8383 Å; angles 90.00, 113.39, 90.00 degrees
Space group C2/m (No. 12)
Asymmetric unit:
1 Ag 0.1877 0.0000 0.1872 (multiplicity 4)
2 Ge 0.0000 0.5000 0.5000 (multiplicity 2)
3 Pd 0.0001 0.0000 0.2466 (multiplicity 4)
4 Pd 0.1364 0.5000 0.8994 (multiplicity 4)
5 Pd 0.1370 0.5000 0.3748 (multiplicity 4)
6 Pd 0.1775 0.0000 0.6775 (multiplicity 4)

***

The most stable of them is model two.

***

Model one:
A relaxed AgGePd3 crystal, computed with PBE.

Values from the calculation:
Density of states at the Fermi level, states/eV/atom: 0.453
Size of the total moment, μB/cell: 0.0
Density, kg/m³: 9412

Cell lengths 6.2146, 6.2146, 5.2720 Å; angles 90.00, 90.00, 120.00 degrees
Space group P6_3/mmc (No. 194)
Asymmetric unit:
1 Ag 0.3333 0.6667 0.2500 (multiplicity 2)
2 Ge 0.0000 0.0000 0.0000 (multiplicity 2)
3 Pd 0.1885 0.3770 0.7500 (multiplicity 6)

***

Model two:
A relaxed AgGePd3 crystal, computed with PBE.

Values from the calculation:
Density of states at the Fermi level, states/eV/atom: 1.001
Size of the total moment, μB/cell: 0.0
Density, kg/m³: 8366

Cell lengths 4.6292, 4.6292, 4.6292 Å; angles 90.00, 90.00, 90.00 degrees
Space group Pm-3m (No. 221)
Asymmetric unit:
1 Ag 0.0000 0.0000 0.0000 (multiplicity 1)
2 Ge 0.5000 0.5000 0.5000 (multiplicity 1)
3 Pd 0.0000 0.5000 0.5000 (multiplicity 3)

***

Model three:
A relaxed AgGePd3 crystal, computed with PBE.

Values from the calculation:
Density of states at the Fermi level, states/eV/atom: 1.571
Size of the total moment, μB/cell: 0.0
Density, kg/m³: 7071

Cell lengths 4.8960, 4.8960, 4.8960 Å; angles 90.00, 90.00, 90.00 degrees
Space group Pm-3m (No. 221)
Asymmetric unit:
1 Ag 0.0000 0.0000 0.0000 (multiplicity 1)
2 Ge 0.5000 0.5000 0.5000 (multiplicity 1)
3 Pd 0.0000 0.0000 0.5000 (multiplicity 3)

***

The most stable of them is model one.

***

Model one:
A relaxed Pm3AgGe3 crystal, computed with PBE.

Values from the calculation:
Density of states at the Fermi level, states/eV/atom: 0.864
Size of the total moment, μB/cell: 0.0
Density, kg/m³: 6320

Cell lengths 8.8252, 8.8252, 5.9272 Å; angles 90.00, 90.00, 120.00 degrees
Space group P6_3/m (No. 176)
Asymmetric unit:
1 Pm 0.0571 0.3683 0.2500 (multiplicity 6)
2 Ag 0.3333 0.6667 0.7500 (multiplicity 2)
3 Ge 0.0504 0.3532 0.7500 (multiplicity 6)

***

Model two:
A relaxed Pm3AgGe3 crystal, computed with PBE.

Values from the calculation:
Density of states at the Fermi level, states/eV/atom: 0.557
Size of the total moment, μB/cell: 0.0
Density, kg/m³: 7622

Cell lengths 11.0920, 4.4508, 14.2996 Å; angles 90.00, 110.10, 90.00 degrees
Space group C2/m (No. 12)
Asymmetric unit:
1 Pm 0.0280 0.0000 0.3774 (multiplicity 4)
2 Pm 0.1031 0.0000 0.9239 (multiplicity 4)
3 Pm 0.2407 0.0000 0.2229 (multiplicity 4)
4 Ag 0.2403 0.5000 0.3989 (multiplicity 4)
5 Ge 0.0281 0.5000 0.2276 (multiplicity 4)
6 Ge 0.1173 0.5000 0.0751 (multiplicity 4)
7 Ge 0.1233 0.5000 0.5489 (multiplicity 4)

***

The most stable of them is model two.

***

Model one:
A relaxed Ag3GePt crystal, computed with PBE.

Values from the calculation:
Density of states at the Fermi level, states/eV/atom: 0.404
Size of the total moment, μB/cell: 0.0
Density, kg/m³: 7537

Cell lengths 5.0694, 5.0694, 5.0694 Å; angles 90.00, 90.00, 90.00 degrees
Space group Pm-3m (No. 221)
Asymmetric unit:
1 Ag 0.0000 0.0000 0.5000 (multiplicity 3)
2 Ge 0.5000 0.5000 0.5000 (multiplicity 1)
3 Pt 0.0000 0.0000 0.0000 (multiplicity 1)

***

Model two:
A relaxed Ag3GePt crystal, computed with PBE.

Values from the calculation:
Density of states at the Fermi level, states/eV/atom: 0.895
Size of the total moment, μB/cell: 0.0
Density, kg/m³: 9120

Cell lengths 4.7574, 4.7574, 4.7574 Å; angles 90.00, 90.00, 90.00 degrees
Space group Pm-3m (No. 221)
Asymmetric unit:
1 Ag 0.0000 0.0000 0.5000 (multiplicity 3)
2 Ge 0.0000 0.0000 0.0000 (multiplicity 1)
3 Pt 0.5000 0.5000 0.5000 (multiplicity 1)

***

The most stable of them is model two.

***

Model one:
A relaxed Rb2AgGe2 crystal, computed with PBE.

Values from the calculation:
Density of states at the Fermi level, states/eV/atom: 0.672
Size of the total moment, μB/cell: 0.0
Density, kg/m³: 3757

Cell lengths 7.0935, 7.0935, 7.4509 Å; angles 90.00, 90.00, 90.00 degrees
Space group I4/mmm (No. 139)
Asymmetric unit:
1 Rb 0.0000 0.5000 0.2500 (multiplicity 4)
2 Ag 0.0000 0.0000 0.0000 (multiplicity 2)
3 Ge 0.0000 0.0000 0.3461 (multiplicity 4)

***

Model two:
A relaxed Rb2AgGe2 crystal, computed with PBE.

Values from the calculation:
Density of states at the Fermi level, states/eV/atom: 0.245
Size of the total moment, μB/cell: 0.0
Density, kg/m³: 3912

Cell lengths 10.3142, 10.3142, 3.3844 Å; angles 90.00, 90.00, 90.00 degrees
Space group P4/mbm (No. 127)
Asymmetric unit:
1 Rb 0.2112 0.2888 0.0000 (multiplicity 4)
2 Ag 0.0000 0.0000 0.5000 (multiplicity 2)
3 Ge 0.0801 0.5801 0.5000 (multiplicity 4)

***

Model three:
A relaxed Rb2AgGe2 crystal, computed with PBE.

Values from the calculation:
Density of states at the Fermi level, states/eV/atom: 0.636
Size of the total moment, μB/cell: 0.0
Density, kg/m³: 3718

Cell lengths 8.4653, 11.4705, 8.4982 Å; angles 90.00, 113.34, 90.00 degrees
Space group C2/m (No. 12)
Asymmetric unit:
1 Rb 0.2476 0.1626 0.2650 (multiplicity 8)
2 Ag 0.0000 0.3833 0.0000 (multiplicity 4)
3 Ge 0.1530 0.5000 0.3196 (multiplicity 4)
4 Ge 0.1764 0.0000 0.8449 (multiplicity 4)

***

The most stable of them is model three.